Entry from Alexandria via LeMat-Bulk: a geometry-optimized ZnCrO2 structure (GGA+U).

```
ZnCrO2
1.0
-2.6071 2.6071 3.6257
2.6071 -2.6071 3.6257
2.6071 2.6071 -3.6257
Zn Cr O
2 2 4
direct
0.0000 0.0000 0.0000
0.7500 0.2500 0.5000
0.2500 0.7500 0.5000
0.5000 0.5000 0.0000
0.1116 0.6250 0.9866
0.3750 0.3616 0.4866
0.6384 0.1250 0.0134
0.8750 0.8884 0.5134
```

**Size of the total moment**: 1.000 μB/atom
**Total energy**: -6.024 eV/atom
**SG**: No. 122